[1]
Computed, not measured: a relaxed structure of RbPdF at the PBE level of DFT.

VASP energy = -3.909 eV/atom
Formation energy from raw total energies = -1.23 eV/atom
Symmetry = Pnma (62)

abc: 10.319 3.566 7.211
angles: 90.00 90.00 90.00
Element x y z (fractional)
Rb (0.173, 0.250, 0.094)
Rb (0.327, 0.750, 0.594)
Rb (0.673, 0.250, 0.406)
Rb (0.827, 0.750, 0.906)
Pd (0.035, 0.250, 0.614)
Pd (0.465, 0.750, 0.114)
Pd (0.535, 0.250, 0.886)
Pd (0.965, 0.750, 0.386)
F (0.097, 0.750, 0.813)
F (0.403, 0.250, 0.313)
F (0.597, 0.750, 0.687)
F (0.903, 0.250, 0.187)

[2]
Computed, not measured: a relaxed structure of Rb2Pd3F10 at the PBE level of DFT.

VASP energy = -4.126 eV/atom
Formation energy from raw total energies = -1.71 eV/atom
Symmetry = C2/m (12)

abc: 10.302 10.302 8.594
angles: 110.45 110.45 35.88
Element x y z (fractional)
Rb (0.118, 0.118, 0.229)
Rb (0.213, 0.213, 0.824)
Rb (0.787, 0.787, 0.176)
Rb (0.882, 0.882, 0.771)
Pd (0.254, 0.746, 0.500)
Pd (0.319, 0.319, 0.484)
Pd (0.425, 0.425, 0.021)
Pd (0.575, 0.575, 0.979)
Pd (0.681, 0.681, 0.516)
Pd (0.746, 0.254, 0.500)
F (0.000, 0.500, 0.500)
F (0.019, 0.019, 0.672)
F (0.136, 0.575, 0.022)
F (0.147, 0.635, 0.473)
F (0.267, 0.267, 0.238)
F (0.283, 0.717, 0.000)
F (0.365, 0.853, 0.527)
F (0.367, 0.367, 0.733)
F (0.425, 0.864, 0.978)
F (0.477, 0.477, 0.314)
F (0.500, 0.000, 0.500)
F (0.523, 0.523, 0.686)
F (0.575, 0.136, 0.022)
F (0.633, 0.633, 0.267)
F (0.635, 0.147, 0.473)
F (0.717, 0.283, 0.000)
F (0.733, 0.733, 0.762)
F (0.853, 0.365, 0.527)
F (0.864, 0.425, 0.978)
F (0.981, 0.981, 0.328)

[3]
Computed, not measured: a relaxed structure of Rb2PdF4 at the PBE level of DFT.

VASP energy = -4.257 eV/atom
Formation energy from raw total energies = -2.17 eV/atom
Symmetry = P4/mmm (123)

abc: 6.406 6.406 3.781
angles: 90.00 90.00 90.00
Element x y z (fractional)
Rb (0.000, 0.500, 0.000)
Rb (0.500, 0.000, 0.000)
Pd (0.000, 0.000, 0.500)
F (0.221, 0.221, 0.500)
F (0.221, 0.779, 0.500)
F (0.779, 0.221, 0.500)
F (0.779, 0.779, 0.500)

[4]
Computed, not measured: a relaxed structure of Rb3PdF5 at the PBE level of DFT.

VASP energy = -4.203 eV/atom
Formation energy from raw total energies = -2.26 eV/atom
Symmetry = P4/mbm (127)

abc: 7.603 7.603 6.538
angles: 90.00 90.00 90.00
Element x y z (fractional)
Rb (0.000, 0.000, 0.000)
Rb (0.176, 0.324, 0.500)
Rb (0.324, 0.824, 0.500)
Rb (0.500, 0.500, 0.000)
Rb (0.676, 0.176, 0.500)
Rb (0.824, 0.676, 0.500)
Pd (0.000, 0.500, 0.000)
Pd (0.500, 0.000, 0.000)
F (0.000, 0.000, 0.500)
F (0.132, 0.632, 0.213)
F (0.132, 0.632, 0.787)
F (0.368, 0.132, 0.213)
F (0.368, 0.132, 0.787)
F (0.500, 0.500, 0.500)
F (0.632, 0.868, 0.213)
F (0.632, 0.868, 0.787)
F (0.868, 0.368, 0.213)
F (0.868, 0.368, 0.787)

[5]
Computed, not measured: a relaxed structure of Rb2PdF6 at the PBE level of DFT.

VASP energy = -4.155 eV/atom
Formation energy from raw total energies = -2.12 eV/atom
Symmetry = Fm-3m (225)

abc: 6.198 6.198 6.198
angles: 60.00 60.00 60.00
Element x y z (fractional)
Rb (0.250, 0.250, 0.250)
Rb (0.750, 0.750, 0.750)
Pd (0.000, 0.000, 0.000)
F (0.223, 0.223, 0.777)
F (0.223, 0.777, 0.223)
F (0.223, 0.777, 0.777)
F (0.777, 0.223, 0.223)
F (0.777, 0.223, 0.777)
F (0.777, 0.777, 0.223)

[6]
Computed, not measured: a relaxed structure of RbPdF at the PBE level of DFT.

VASP energy = -3.907 eV/atom
Formation energy from raw total energies = -1.23 eV/atom
Symmetry = P2_1/m (11)

abc: 5.612 3.569 7.221
angles: 90.00 112.73 90.00
Element x y z (fractional)
Rb (0.153, 0.250, 0.304)
Rb (0.847, 0.750, 0.696)
Pd (0.432, 0.250, 0.865)
Pd (0.568, 0.750, 0.135)
F (0.314, 0.750, 0.630)
F (0.686, 0.250, 0.370)

[7]
Computed, not measured: a relaxed structure of Rb3Pd2F8 at the PBE level of DFT.

VASP energy = -3.969 eV/atom
Formation energy from raw total energies = -1.80 eV/atom
Symmetry = R-3m (166)

abc: 7.988 7.988 7.988
angles: 49.04 49.04 49.04
Element x y z (fractional)
Rb (0.000, 0.000, 0.000)
Rb (0.215, 0.215, 0.215)
Rb (0.785, 0.785, 0.785)
Pd (0.439, 0.439, 0.439)
Pd (0.561, 0.561, 0.561)
F (0.202, 0.734, 0.734)
F (0.266, 0.266, 0.798)
F (0.266, 0.798, 0.266)
F (0.341, 0.341, 0.341)
F (0.659, 0.659, 0.659)
F (0.734, 0.202, 0.734)
F (0.734, 0.734, 0.202)
F (0.798, 0.266, 0.266)

[8]
Computed, not measured: a relaxed structure of RbPd2F5 at the PBE level of DFT.

VASP energy = -4.208 eV/atom
Formation energy from raw total energies = -1.62 eV/atom
Symmetry = Imma (74)

abc: 7.447 7.447 7.447
angles: 128.28 117.08 85.71
Element x y z (fractional)
Rb (0.355, 0.105, 0.250)
Rb (0.645, 0.895, 0.750)
Pd (0.000, 0.000, 0.500)
Pd (0.000, 0.500, 0.000)
Pd (0.000, 0.500, 0.500)
Pd (0.500, 0.500, 0.000)
F (0.051, 0.360, 0.171)
F (0.051, 0.880, 0.691)
F (0.312, 0.120, 0.671)
F (0.312, 0.640, 0.191)
F (0.343, 0.593, 0.750)
F (0.657, 0.407, 0.250)
F (0.688, 0.360, 0.809)
F (0.688, 0.880, 0.329)
F (0.949, 0.120, 0.309)
F (0.949, 0.640, 0.829)

[9]
Computed, not measured: a relaxed structure of RbPdF at the PBE level of DFT.

VASP energy = -3.859 eV/atom
Formation energy from raw total energies = -1.18 eV/atom
Symmetry = P1 (1)

abc: 3.743 5.003 9.241
angles: 101.70 90.02 111.92
Element x y z (fractional)
Rb (0.000, 0.000, 0.000)
Rb (0.112, 0.224, 0.611)
Pd (0.395, 0.792, 0.306)
Pd (0.712, 0.425, 0.309)
F (0.051, 0.107, 0.305)
F (0.565, 0.131, 0.810)

[10]
Computed, not measured: a relaxed structure of RbPd2F at the PBE level of DFT.

VASP energy = -3.533 eV/atom
Formation energy from raw total energies = -0.23 eV/atom
Symmetry = I4_1/amd (141)

abc: 8.306 8.306 8.306
angles: 142.50 142.50 54.08
Element x y z (fractional)
Rb (0.375, 0.625, 0.750)
Rb (0.625, 0.375, 0.250)
Pd (0.000, 0.000, 0.000)
Pd (0.000, 0.000, 0.500)
Pd (0.000, 0.500, 0.000)
Pd (0.500, 0.000, 0.500)
F (0.125, 0.875, 0.250)
F (0.875, 0.125, 0.750)

[11]
Computed, not measured: a relaxed structure of RbPdF at the PBE level of DFT.

VASP energy = -3.719 eV/atom
Formation energy from raw total energies = -1.04 eV/atom
Symmetry = P1 (1)

abc: 4.261 4.261 7.761
angles: 89.95 89.92 90.00
Element x y z (fractional)
Rb (0.000, 0.000, 0.000)
Rb (0.001, 0.002, 0.481)
Pd (0.500, 0.500, 0.148)
Pd (0.500, 0.500, 0.798)
F (0.500, 0.501, 0.425)
F (0.501, 0.000, 0.762)

[12]
Computed, not measured: a relaxed structure of Rb3Pd2F9 at the PBE level of DFT.

VASP energy = -4.075 eV/atom
Formation energy from raw total energies = -1.92 eV/atom
Symmetry = P6_3/mmc (194)

abc: 6.117 6.117 16.459
angles: 90.00 90.00 120.00
Element x y z (fractional)
Rb (0.000, 0.000, 0.250)
Rb (0.000, 0.000, 0.750)
Rb (0.333, 0.667, 0.065)
Rb (0.333, 0.667, 0.435)
Rb (0.667, 0.333, 0.565)
Rb (0.667, 0.333, 0.935)
Pd (0.333, 0.667, 0.661)
Pd (0.333, 0.667, 0.839)
Pd (0.667, 0.333, 0.161)
Pd (0.667, 0.333, 0.339)
F (0.037, 0.519, 0.750)
F (0.178, 0.356, 0.591)
F (0.178, 0.356, 0.909)
F (0.178, 0.822, 0.591)
F (0.178, 0.822, 0.909)
F (0.356, 0.178, 0.091)
F (0.356, 0.178, 0.409)
F (0.481, 0.519, 0.750)
F (0.481, 0.963, 0.750)
F (0.519, 0.037, 0.250)
F (0.519, 0.481, 0.250)
F (0.644, 0.822, 0.591)
F (0.644, 0.822, 0.909)
F (0.822, 0.178, 0.091)
F (0.822, 0.178, 0.409)
F (0.822, 0.644, 0.091)
F (0.822, 0.644, 0.409)
F (0.963, 0.481, 0.250)

[13]
Computed, not measured: a relaxed structure of Rb3PdF4 at the PBE level of DFT.

VASP energy = -4.007 eV/atom
Formation energy from raw total energies = -2.06 eV/atom
Symmetry = Pmn2_1 (31)

abc: 9.412 8.183 5.434
angles: 90.00 90.00 90.00
Element x y z (fractional)
Rb (0.000, 0.087, 0.000)
Rb (0.231, 0.345, 0.494)
Rb (0.269, 0.655, 0.994)
Rb (0.500, 0.913, 0.500)
Rb (0.731, 0.655, 0.994)
Rb (0.769, 0.345, 0.494)
Pd (0.000, 0.715, 0.477)
Pd (0.500, 0.285, 0.977)
F (0.000, 0.165, 0.500)
F (0.000, 0.754, 0.070)
F (0.225, 0.703, 0.496)
F (0.275, 0.297, 0.996)
F (0.500, 0.246, 0.570)
F (0.500, 0.835, 0.000)
F (0.725, 0.297, 0.996)
F (0.775, 0.703, 0.496)

[14]
Computed, not measured: a relaxed structure of Rb2RePdF6 at the PBE level of DFT.

VASP energy = -4.970 eV/atom
Formation energy from raw total energies = -1.89 eV/atom
Symmetry = I4/mmm (139)

abc: 6.586 6.586 6.586
angles: 122.28 122.28 86.09
Element x y z (fractional)
Rb (0.250, 0.750, 0.500)
Rb (0.750, 0.250, 0.500)
Re (0.000, 0.000, 0.000)
Pd (0.500, 0.500, 0.000)
F (0.208, 0.208, 0.000)
F (0.223, 0.223, 0.446)
F (0.223, 0.777, 0.000)
F (0.777, 0.223, 0.000)
F (0.777, 0.777, 0.554)
F (0.792, 0.792, 0.000)

[15]
Computed, not measured: a relaxed structure of RbPdRhF6 at the PBE level of DFT.

VASP energy = -4.467 eV/atom
Formation energy from raw total energies = -1.72 eV/atom
Symmetry = Imma (74)

abc: 7.599 7.599 7.599
angles: 120.51 120.23 89.37
Element x y z (fractional)
Rb (0.370, 0.120, 0.250)
Rb (0.630, 0.880, 0.750)
Pd (0.000, 0.000, 0.500)
Pd (0.000, 0.500, 0.000)
Rh (0.000, 0.500, 0.500)
Rh (0.500, 0.500, 0.000)
F (0.097, 0.430, 0.278)
F (0.097, 0.820, 0.667)
F (0.099, 0.849, 0.250)
F (0.315, 0.565, 0.750)
F (0.347, 0.180, 0.778)
F (0.347, 0.570, 0.167)
F (0.653, 0.430, 0.833)
F (0.653, 0.820, 0.222)
F (0.685, 0.435, 0.250)
F (0.901, 0.151, 0.750)
F (0.903, 0.180, 0.333)
F (0.903, 0.570, 0.722)

[16]
Computed, not measured: a relaxed structure of Rb2PdRhF6 at the PBE level of DFT.

VASP energy = -4.450 eV/atom
Formation energy from raw total energies = -1.88 eV/atom
Symmetry = I4/mmm (139)

abc: 6.148 6.148 6.148
angles: 119.92 119.92 90.14
Element x y z (fractional)
Rb (0.250, 0.750, 0.500)
Rb (0.750, 0.250, 0.500)
Pd (0.000, 0.000, 0.000)
Rh (0.500, 0.500, 0.000)
F (0.262, 0.262, 0.000)
F (0.263, 0.263, 0.525)
F (0.263, 0.737, 0.000)
F (0.737, 0.263, 0.000)
F (0.737, 0.737, 0.475)
F (0.738, 0.738, 0.000)

[17]
Computed, not measured: a relaxed structure of RbPdS2F at the PBE level of DFT.

VASP energy = -3.087 eV/atom
Formation energy from raw total energies = 0.17 eV/atom
Symmetry = P4/mmm (123)

abc: 5.038 5.038 4.285
angles: 90.00 90.00 90.00
Element x y z (fractional)
Rb (0.000, 0.000, 0.000)
Pd (0.500, 0.500, 0.000)
S (0.000, 0.500, 0.500)
S (0.500, 0.000, 0.500)
F (0.500, 0.500, 0.500)

[18]
Computed, not measured: a relaxed structure of Rb2SbPdF6 at the PBE level of DFT.

VASP energy = -4.377 eV/atom
Formation energy from raw total energies = -2.13 eV/atom
Symmetry = I4/mmm (139)

abc: 6.749 6.749 6.749
angles: 124.63 124.63 82.16
Element x y z (fractional)
Rb (0.250, 0.750, 0.500)
Rb (0.750, 0.250, 0.500)
Sb (0.000, 0.000, 0.000)
Pd (0.500, 0.500, 0.000)
F (0.214, 0.214, 0.000)
F (0.247, 0.247, 0.495)
F (0.247, 0.753, 0.000)
F (0.753, 0.247, 0.000)
F (0.753, 0.753, 0.505)
F (0.786, 0.786, 0.000)

[19]
Computed, not measured: a relaxed structure of Rb2ScPdF6 at the PBE level of DFT.

VASP energy = -5.265 eV/atom
Formation energy from raw total energies = -2.80 eV/atom
Symmetry = I4/mmm (139)

abc: 6.247 6.247 6.247
angles: 117.33 117.33 94.69
Element x y z (fractional)
Rb (0.250, 0.750, 0.500)
Rb (0.750, 0.250, 0.500)
Sc (0.000, 0.000, 0.000)
Pd (0.500, 0.500, 0.000)
F (0.220, 0.220, 0.441)
F (0.220, 0.780, 0.000)
F (0.242, 0.242, 0.000)
F (0.758, 0.758, 0.000)
F (0.780, 0.220, 0.000)
F (0.780, 0.780, 0.559)

[20]
Computed, not measured: a relaxed structure of RbScPd2F at the PBE level of DFT.

VASP energy = -3.598 eV/atom
Formation energy from raw total energies = 0.31 eV/atom
Symmetry = P4/mmm (123)

abc: 5.232 5.232 4.654
angles: 90.00 90.00 90.00
Element x y z (fractional)
Rb (0.000, 0.000, 0.000)
Sc (0.500, 0.500, 0.500)
Pd (0.000, 0.500, 0.000)
Pd (0.500, 0.000, 0.000)
F (0.000, 0.000, 0.500)